Er2SbSe, relaxed, DFT PBE; total moment = 0.00 μB/f.u.; excess energy over the best structure of this formula in the dataset = 65 meV/atom; formation energy without anion corrections = -1.335 eV per atom; DOS(E_F) = 2.51 states/eV/cell; symmetry = No. 160; E_tot = -5.52 eV per atom
1.0
-4.0393 0.3328 0.8146
-1.5577 -1.6678 3.4471
-0.6527 5.6809 4.9327
Sb Se Er
1 1 2
Direct
0.4989 0.4989 0.5032 Sb
0.6693 0.6693 0.9922 Se
0.2551 0.2551 0.2346 Er
0.0766 0.0766 0.7701 Er